Computed, not measured: a relaxed HoTmHgIr crystal at the PBE level of DFT.

a b c (Å): 4.991 4.991 4.991
angles (deg): 60.00 60.00 60.00
Element x y z (fractional)
Ho: 0.000 0.000 0.000
Tm: 0.500 0.500 0.500
Hg: 0.750 0.750 0.750
Ir: 0.250 0.250 0.250

The value obtained for the magnetic moment is 0.0 μB per cell. As for the density of states at the Fermi level: 1.88 states/eV per cell. As for the crystal system: cubic. For the total DFT energy (no corrections), the calculation gives -0.38226 Ry per atom. The calculation puts the volume at 21.97 Å³ per atom.